Record 1
Computed, not measured: crystalline Ti3AgP at its relaxed geometry at the PBE-GGA level of DFT.

distance to the lowest polymorph of the same formula	1232	meV per atom
DFT formation energy	1.073	eV/atom

Unit cell a=4.8185 b=4.8185 c=4.8185 alpha=90.00 beta=90.00 gamma=90.00
With the nearest neighbours (Å) after each atom.
Positions (direct):
Ag 0.0000 0.0000 0.0000  6 Ti 2.41
P 0.5000 0.5000 0.5000  12 Ti 3.41
Ti 0.5000 0.0000 0.0000  2 Ag 2.41
Ti 0.0000 0.5000 0.0000  2 Ag 2.41
Ti 0.0000 0.0000 0.5000  2 Ag 2.41

=====

Record 2
Computed, not measured: crystalline CaAu3I at its relaxed geometry at the PBE-GGA level of DFT.

formation energy without anion corrections	0.398	eV per atom
distance to the lowest polymorph of the same formula	0	meV per atom

Unit cell a=5.4003 b=5.4003 c=5.4003 alpha=90.00 beta=90.00 gamma=90.00
With the nearest neighbours (Å) after each atom.
Positions (direct):
I 0.0000 0.0000 0.0000  6 Au 2.70
Au 0.0000 0.0000 0.5000  2 I 2.70
Au 0.5000 0.0000 0.0000  2 I 2.70
Au 0.0000 0.5000 0.0000  2 I 2.70
Ca 0.5000 0.5000 0.5000  12 Au 3.82

=====

Record 3
Computed, not measured: crystalline PrYMgZr at its relaxed geometry at the PBE-GGA level of DFT.

DFT formation energy	0.132	eV/atom

Unit cell a=5.4308 b=5.4308 c=5.4308 alpha=60.00 beta=60.00 gamma=60.00
With the nearest neighbours (Å) after each atom.
Positions (direct):
Zr 0.5000 0.5000 0.5000  4 Pr 3.33, 4 Y 3.33
Pr 0.2500 0.2500 0.2500  4 Zr 3.33, 4 Mg 3.33
Mg 0.0000 0.0000 0.0000  4 Pr 3.33, 4 Y 3.33
Y 0.7500 0.7500 0.7500  4 Zr 3.33, 4 Mg 3.33

=====

Record 4
Computed, not measured: crystalline Hf2CoRhSe at its relaxed geometry at the PBE-GGA level of DFT.

formation energy without anion corrections	0.552	eV per atom

Unit cell a=4.8744 b=4.4504 c=4.8744 alpha=90.00 beta=90.00 gamma=90.00
With the nearest neighbours (Å) after each atom.
Positions (direct):
Hf 0.5000 0.0000 0.0000  2 Se 2.44
Hf 0.0000 0.0000 0.5000  2 Se 2.44
Se 0.0000 0.0000 0.0000  2 Rh 2.23, 4 Hf 2.44
Rh 0.0000 0.5000 0.0000  2 Se 2.23
Co 0.5000 0.5000 0.5000  8 Hf 3.30, 4 Rh 3.45

=====

Record 5
Computed, not measured: crystalline Ag2OsBr at its relaxed geometry at the PBE-GGA level of DFT.

formation energy without anion corrections	1.295	eV per atom
distance to the lowest polymorph of the same formula	632	meV per atom

Unit cell a=4.8161 b=4.8161 c=4.8161 alpha=60.00 beta=60.00 gamma=60.00
With the nearest neighbours (Å) after each atom.
Positions (direct):
Ag 0.2500 0.2500 0.2500  4 Br 2.95, 4 Os 2.95
Ag 0.7500 0.7500 0.7500  4 Br 2.95, 4 Os 2.95
Os 0.5000 0.5000 0.5000  8 Ag 2.95
Br 0.0000 0.0000 0.0000  8 Ag 2.95

=====

Record 6
Computed, not measured: crystalline CeEr3Cd6 at its relaxed geometry at the PBE-GGA level of DFT.

DFT formation energy	-0.233	eV/atom

Unit cell a=5.2009 b=9.1349 c=11.1066 alpha=106.74 beta=90.00 gamma=90.00
With the nearest neighbours (Å) after each atom.
Positions (direct):
Cd 0.7500 0.3508 0.2982  5 Er 3.11-3.32, 1 Ce 3.17, 2 Cd 3.21
Cd 0.2500 0.1476 0.1955  8 Cd 3.10-3.34
Cd 0.7500 0.1572 0.7085  4 Er 3.13-3.29, 3 Ce 3.25-3.34, 1 Cd 3.26
Cd 0.7500 0.7433 0.5024  4 Er 3.11-3.25, 3 Ce 3.20-3.40, 1 Cd 3.21
Cd 0.2500 0.4572 0.0923  7 Er 3.17-3.24, 3 Cd 3.34-3.54
Cd 0.2500 0.0569 0.9044  3 Cd 3.10-3.21, 4 Er 3.12-3.24, 1 Ce 3.18
Cd 0.2500 0.8428 0.2915  4 Er 3.13-3.29, 3 Ce 3.25-3.34, 1 Cd 3.26
Cd 0.7500 0.5428 0.9077  7 Er 3.17-3.24, 3 Cd 3.34-3.54
Cd 0.2500 0.6492 0.7018  5 Er 3.11-3.32, 1 Ce 3.17, 2 Cd 3.21
Cd 0.7500 0.9431 0.0956  3 Cd 3.10-3.21, 4 Er 3.12-3.24, 1 Ce 3.18
Cd 0.2500 0.2567 0.4976  4 Er 3.11-3.25, 3 Ce 3.20-3.40, 1 Cd 3.21
Cd 0.7500 0.8524 0.8045  8 Cd 3.10-3.34
Er 0.2500 0.3496 0.7946  8 Cd 3.13-3.24
Er 0.7500 0.4639 0.6101  8 Cd 3.11-3.32
Er 0.7500 0.2403 0.0053  8 Cd 3.12-3.24
Er 0.2500 0.5361 0.3899  8 Cd 3.11-3.32
Er 0.2500 0.7597 0.9947  8 Cd 3.12-3.24
Er 0.7500 0.6504 0.2054  8 Cd 3.13-3.24
Ce 0.7500 0.0559 0.3947  8 Cd 3.17-3.40
Ce 0.2500 0.9441 0.6053  8 Cd 3.17-3.40

=====

Record 7
Computed, not measured: crystalline Rb2BaPCl6 at its relaxed geometry at the PBE-GGA level of DFT.

formation energy without anion corrections	-1.472	eV per atom

Unit cell a=7.6343 b=7.6343 c=8.3695 alpha=62.87 beta=62.87 gamma=90.00
With the nearest neighbours (Å) after each atom.
Positions (direct):
Rb 0.2500 0.7500 0.5000  12 Cl 3.82-4.20
Rb 0.7500 0.2500 0.5000  12 Cl 3.82-4.20
Cl 0.7218 0.2782 0.0000  1 P 2.39
Cl 0.7218 0.7218 0.0000  1 P 2.39
Cl 0.7661 0.7661 0.4679  1 Ba 2.99
Cl 0.2339 0.2339 0.5321  1 Ba 2.99
Cl 0.2782 0.2782 0.0000  1 P 2.39
Cl 0.2782 0.7218 0.0000  1 P 2.39
Ba 0.0000 0.0000 0.0000  6 Cl 2.99-3.00
P 0.5000 0.5000 0.0000  4 Cl 2.39

=====

Record 8
Computed, not measured: crystalline Hg3As2Pb2 at its relaxed geometry at the PBE-GGA level of DFT.

DFT formation energy	0.067	eV/atom

Unit cell a=4.3520 b=3.5947 c=12.1814 alpha=98.48 beta=90.00 gamma=90.00
With the nearest neighbours (Å) after each atom.
Positions (direct):
Hg 0.0000 0.0000 0.0000  10 Hg 3.27-3.59
Hg 0.5000 0.5686 0.1372  7 Hg 3.27-3.59, 1 As 3.44, 4 Pb 3.47
Hg 0.5000 0.4314 0.8628  7 Hg 3.27-3.59, 1 As 3.44, 4 Pb 3.47
As 0.5000 0.7116 0.4231  2 As 2.58
As 0.5000 0.2884 0.5769  2 As 2.58
Pb 0.0000 0.8474 0.6949  4 As 3.16, 4 Hg 3.47
Pb 0.0000 0.1526 0.3051  4 As 3.16, 4 Hg 3.47

=====

Record 9
Computed, not measured: crystalline TiPb at its relaxed geometry at the PBE-GGA level of DFT.

DFT formation energy	0.141	eV/atom

Unit cell a=4.5755 b=8.9162 c=6.9286 alpha=90.00 beta=90.00 gamma=90.00
With the nearest neighbours (Å) after each atom.
Positions (direct):
Ti 0.0000 0.5000 0.0624  4 Ti 2.74, 4 Pb 2.85-2.94
Ti 0.5000 0.6672 0.0248  3 Ti 2.74-2.98, 5 Pb 2.98-3.03
Ti 0.5000 0.8328 0.5248  3 Ti 2.74-2.98, 5 Pb 2.98-3.03
Ti 0.5000 0.1672 0.5248  3 Ti 2.74-2.98, 5 Pb 2.98-3.03
Ti 0.5000 0.3328 0.0248  3 Ti 2.74-2.98, 5 Pb 2.98-3.03
Ti 0.0000 0.0000 0.5624  4 Ti 2.74, 4 Pb 2.85-2.94
Pb 0.0000 0.2989 0.7420  6 Ti 2.85-3.03
Pb 0.0000 0.2011 0.2420  6 Ti 2.85-3.03
Pb 0.5000 0.0000 0.9061  6 Ti 3.03-3.30
Pb 0.5000 0.5000 0.4061  6 Ti 3.03-3.30
Pb 0.0000 0.7011 0.7420  6 Ti 2.85-3.03
Pb 0.0000 0.7989 0.2420  6 Ti 2.85-3.03

=====

Record 10
Computed, not measured: crystalline Na2PmGaSn2 at its relaxed geometry at the PBE-GGA level of DFT.

DFT formation energy	-0.388	eV/atom

Unit cell a=4.5729 b=7.7211 c=9.3077 alpha=90.00 beta=90.00 gamma=90.00
With the nearest neighbours (Å) after each atom.
Positions (direct):
Ga 0.5000 0.6601 0.3385  4 Sn 2.78-2.95
Ga 0.5000 0.1601 0.6615  4 Sn 2.78-2.95
Na 0.0000 0.8395 0.8502  4 Sn 3.11-3.18, 4 Na 3.39-3.46
Na 0.0000 0.3395 0.1498  4 Sn 3.11-3.18, 4 Na 3.39-3.46
Na 0.5000 0.0247 0.0834  3 Sn 3.29-3.32, 4 Na 3.39-3.46, 1 Ga 3.68
Na 0.5000 0.5247 0.9166  3 Sn 3.29-3.32, 4 Na 3.39-3.46, 1 Ga 3.68
Pm 0.0000 0.4991 0.5438  2 Ga 3.23, 5 Sn 3.23-3.27
Pm 0.0000 0.9991 0.4562  2 Ga 3.23, 5 Sn 3.23-3.27
Sn 0.5000 0.7795 0.6294  2 Ga 2.86-2.95, 2 Na 3.11
Sn 0.0000 0.2427 0.8180  2 Ga 2.78
Sn 0.0000 0.7427 0.1820  2 Ga 2.78
Sn 0.5000 0.2795 0.3706  2 Ga 2.86-2.95, 2 Na 3.11

=====

Record 11
Computed, not measured: crystalline AcPm2Pr at its relaxed geometry at the PBE-GGA level of DFT.

distance to the lowest polymorph of the same formula	5	meV per atom
DFT formation energy	0.030	eV/atom

Unit cell a=3.7776 b=3.7776 c=10.4721 alpha=90.00 beta=90.00 gamma=90.00
With the nearest neighbours (Å) after each atom.
Positions (direct):
Pm 0.0000 0.0000 0.7594  4 Pr 3.67, 4 Pm 3.78, 4 Ac 3.81
Pm 0.0000 0.0000 0.2406  4 Pr 3.67, 4 Pm 3.78, 4 Ac 3.81
Pr 0.5000 0.5000 0.0000  8 Pm 3.67, 4 Pr 3.78
Ac 0.5000 0.5000 0.5000  4 Ac 3.78, 8 Pm 3.81

=====

Record 12
Computed, not measured: crystalline Cs2BaPS4 at its relaxed geometry at the PBE-GGA level of DFT.

formation energy without anion corrections	-0.883	eV per atom

Unit cell a=7.2963 b=7.9701 c=14.3316 alpha=83.31 beta=75.25 gamma=62.76
With the nearest neighbours (Å) after each atom.
Positions (direct):
P 0.2500 0.5000 0.5000  4 S 2.11
P 0.5000 0.0000 0.0000  4 S 2.11
S 0.3691 0.6772 0.4134  1 P 2.11
S 0.2174 0.3228 0.4134  1 P 2.11
S 0.5326 0.1772 0.0866  1 P 2.11
S 0.4598 0.3228 0.5866  1 P 2.11
S 0.9537 0.6772 0.5866  1 P 2.11
S 0.7963 0.8228 0.9134  1 P 2.11
S 0.3809 0.8228 0.0866  1 P 2.11
S 0.2902 0.1772 0.9134  1 P 2.11
Ba 0.0000 0.0000 0.0000  4 S 3.00
Ba 0.7500 0.5000 0.5000  4 S 3.00
Cs 0.1884 0.0000 0.6232  4 S 3.75-3.83
Cs 0.5616 0.5000 0.8768  4 S 3.75-3.83
Cs 0.8116 0.0000 0.3768  4 S 3.75-3.83
Cs 0.9384 0.5000 0.1232  4 S 3.75-3.83

=====

For the records above, the corresponding N(E_F) values read 3.65, 5.12, 5.11, 6.33, 4.30, 27.02, 0.00, 3.27, 12.21, 1.95, 7.05, 6.54 states/eV/cell.